This record from Alexandria describes a relaxed structure of BaLaTiCrO6. The functional is PBE with a Hubbard U.

Properties
E_tot	-80.8	eV per formula unit
density of states at the Fermi level	0.00	states/eV per cell

a b c (Å): 7.961 7.961 7.961
angles (deg): 90.00 90.00 90.00
Space group F-43m (No. 216)
Inequivalent atoms, fractional coordinates:
Ba (0.000, 0.000, 0.000) x4
La (0.000, 0.000, 0.500) x4
Ti (0.250, 0.250, 0.250) x4
Cr (0.250, 0.250, 0.750) x4
O (0.002, 0.250, 0.250) x24